A relaxed SiMo3I crystal, computed with PBE-GGA.

## Properties
D(E_F)   8.2 states/eV per cell
Excess energy over the best structure of this formula in the dataset   5.18 eV/f.u.
Space group   Pm-3m (221)
Formation energy (no corrections)   2.326 eV/atom

abc: 4.8681 4.8681 4.8681
angles: 90.00 90.00 90.00
Closest atoms and distances in Å follow each position.
Fractional positions:
Si 0.0000 0.0000 0.0000  12 Mo 3.44
Mo 0.0000 0.5000 0.5000  2 I 2.43
Mo 0.5000 0.0000 0.5000  2 I 2.43
Mo 0.5000 0.5000 0.0000  2 I 2.43
I 0.5000 0.5000 0.5000  6 Mo 2.43

***

A relaxed ZrPaS4 crystal, computed with PBE-GGA.

## Properties
D(E_F)   5.8 states/eV per cell
Excess energy over the best structure of this formula in the dataset   0.00 eV/f.u.
Space group   P2/m (10)
Formation energy (no corrections)   -1.538 eV/atom

abc: 6.5677 3.8918 6.6570
angles: 90.00 90.12 90.00
Closest atoms and distances in Å follow each position.
Fractional positions:
Zr 0.0000 0.0000 0.0000  6 S 2.59-2.63
Pa 0.0000 0.5000 0.5000  6 S 2.68-2.69
S 0.2150 0.5000 0.8421  2 Zr 2.63, 1 Pa 2.68
S 0.2198 0.0000 0.3241  1 Zr 2.59, 2 Pa 2.69
S 0.7802 0.0000 0.6759  1 Zr 2.59, 2 Pa 2.69
S 0.7850 0.5000 0.1579  2 Zr 2.63, 1 Pa 2.68

***

A relaxed Na3PbF8 crystal, computed with PBE-GGA.

## Properties
D(E_F)   10.5 states/eV per cell
Space group   Pm-3m (221)
Formation energy (no corrections)   -2.193 eV/atom

abc: 5.4692 5.4692 5.4692
angles: 90.00 90.00 90.00
Closest atoms and distances in Å follow each position.
Fractional positions:
Na 0.0000 0.0000 0.5000  8 F 2.42
Na 0.0000 0.5000 0.0000  8 F 2.42
Na 0.5000 0.0000 0.0000  8 F 2.42
Pb 0.5000 0.5000 0.5000  8 F 2.22
F 0.2657 0.2657 0.2657  1 Pb 2.22, 3 Na 2.42
F 0.2657 0.2657 0.7343  1 Pb 2.22, 3 Na 2.42
F 0.2657 0.7343 0.2657  1 Pb 2.22, 3 Na 2.42
F 0.2657 0.7343 0.7343  1 Pb 2.22, 3 Na 2.42
F 0.7343 0.2657 0.2657  1 Pb 2.22, 3 Na 2.42
F 0.7343 0.2657 0.7343  1 Pb 2.22, 3 Na 2.42
F 0.7343 0.7343 0.2657  1 Pb 2.22, 3 Na 2.42
F 0.7343 0.7343 0.7343  1 Pb 2.22, 3 Na 2.42

***

A relaxed Nd7Er5 crystal, computed with PBE-GGA.

## Properties
D(E_F)   18.9 states/eV per cell
Excess energy over the best structure of this formula in the dataset   1.85 eV/f.u.
Space group   C2/m (12)

abc: 5.6611 5.6611 14.8164
angles: 101.61 101.61 61.54
Closest atoms and distances in Å follow each position.
Fractional positions:
Nd 0.0000 0.0000 0.0000  6 Er 3.38-3.41
Nd 0.1841 0.1841 0.5825  6 Er 3.47-3.76, 3 Nd 3.56-3.83
Nd 0.2637 0.2637 0.8295  4 Er 3.31-3.67, 2 Nd 3.56-3.57
Nd 0.4545 0.4545 0.2872  5 Er 3.08-3.31
Nd 0.5455 0.5455 0.7128  5 Er 3.08-3.31
Nd 0.7363 0.7363 0.1705  4 Er 3.31-3.67, 2 Nd 3.56-3.57
Nd 0.8159 0.8159 0.4175  6 Er 3.47-3.76, 3 Nd 3.56-3.83
Er 0.1201 0.1201 0.3006  5 Nd 3.30-3.67
Er 0.3577 0.3577 0.0592  8 Nd 3.29-3.67, 1 Er 3.61
Er 0.5000 0.5000 0.5000  2 Nd 3.08
Er 0.6423 0.6423 0.9408  8 Nd 3.29-3.67, 1 Er 3.61
Er 0.8799 0.8799 0.6994  5 Nd 3.30-3.67

***

Values of total magnetization, in order: 1.485 0.992 1.073 0.000, all in μB/cell.